A plane-wave DFT calculation with PBE-GGA was carried out for crystalline Y2HgP at its relaxed geometry.

Results
For the energy of formation from the pure elements, the calculation gives -0.70 eV per atom. Its energy above the most stable polymorph in this dataset is 30.7 kJ/mol of atoms. The electronic total energy is -5.36 eV/atom. The value obtained for the density of states at the Fermi level is 0.70 states/eV per atom.

Cell: 4.973 4.973 3.751 Å, 90.00 90.00 90.00°
Sites, in units of the cell vectors:
Y: 0.500 0.000 0.000
P: 0.000 0.000 0.500
Hg: 0.500 0.500 0.500
Y: 0.000 0.500 0.000